1:
A geometry-optimized YZr2In structure, computed with PBEsol.

Unit cell a=3.2114 b=3.2114 c=9.1718 alpha=90.00 beta=90.00 gamma=90.00
Closest atoms and distances in Å follow each position.
Atoms (fractional coordinates):
In  0.0000  0.0000  0.4889  4 Zr 3.14, 4 In 3.21, 4 Y 3.25
Y  0.5000  0.5000  0.7428  4 Y 3.21, 4 In 3.25, 4 Zr 3.38
Zr  0.0000  0.0000  0.0153  8 Zr 3.15-3.21, 4 Y 3.38
Zr  0.5000  0.5000  0.2530  4 In 3.14, 8 Zr 3.15-3.21

Space-group type: No. 99
Crystal system: tetragonal


2:
A geometry-optimized YZr2In structure, computed with PBEsol.

Unit cell a=4.4535 b=4.4535 c=5.6082 alpha=113.39 beta=113.39 gamma=90.00
Closest atoms and distances in Å follow each position.
Atoms (fractional coordinates):
Y  0.2500  0.7500  0.5000  8 Zr 3.15-3.22, 4 In 3.22
Zr  0.0000  0.0000  0.0000  4 In 3.15, 4 Zr 3.22, 4 Y 3.22
Zr  0.7500  0.2500  0.5000  4 Y 3.15, 4 Zr 3.22, 4 In 3.22
In  0.5000  0.5000  0.0000  8 Zr 3.15-3.22, 4 Y 3.22

Space-group type: No. 119
Crystal system: tetragonal


Most stable structure - 2; separation to the second - 21 meV per atom.


1:
A geometry-optimized Ir structure, computed with PBEsol.

Unit cell a=2.5418 b=2.5418 c=2.5418 alpha=90.00 beta=90.00 gamma=90.00
Closest atoms and distances in Å follow each position.
Atoms (fractional coordinates):
Ir  0.5000  0.5000  0.5000  6 Ir 2.54

Space-group type: No. 221
Crystal system: cubic


2:
A geometry-optimized Ir structure, computed with PBEsol.

Unit cell a=2.7148 b=2.7148 c=4.4242 alpha=90.00 beta=90.00 gamma=120.00
Closest atoms and distances in Å follow each position.
Atoms (fractional coordinates):
Ir  0.6667  0.3333  0.7500  12 Ir 2.71
Ir  0.3333  0.6667  0.2500  12 Ir 2.71

Space-group type: No. 194
Crystal system: hexagonal


3:
A geometry-optimized Ir structure, computed with PBEsol.

Unit cell a=2.7100 b=2.7100 c=2.7100 alpha=60.00 beta=60.00 gamma=60.00
Closest atoms and distances in Å follow each position.
Atoms (fractional coordinates):
Ir  0.0000  0.0000  0.0000  12 Ir 2.71

Space-group type: No. 225
Crystal system: cubic


Most stable structure - 3; separation to the second - 81 meV per atom.


1:
A geometry-optimized KLa2Ir structure, computed with PBEsol.

Unit cell a=4.2254 b=4.2292 c=10.7391 alpha=101.09 beta=90.00 gamma=119.97
Closest atoms and distances in Å follow each position.
Atoms (fractional coordinates):
K  0.5000  0.0000  0.0000  6 K 4.23, 6 La 4.49-4.51
Ir  0.0000  0.0000  0.5000  6 La 2.84
La  0.7117  0.4235  0.6387  3 Ir 2.84
La  0.2883  0.5765  0.3613  3 Ir 2.84

Space-group type: No. 12
Crystal system: monoclinic


2:
A geometry-optimized KLa2Ir structure, computed with PBEsol.

Unit cell a=3.7615 b=3.9670 c=10.9016 alpha=100.48 beta=99.93 gamma=90.00
Closest atoms and distances in Å follow each position.
Atoms (fractional coordinates):
Ir  0.4522  0.4522  0.9045  6 La 2.76-2.95
K  0.1866  0.6866  0.3733  4 K 3.76-3.97
La  0.0046  0.0046  0.0092  4 Ir 2.95
La  0.8565  0.3565  0.7131  2 Ir 2.76

Space-group type: No. 44
Crystal system: orthorhombic


Most stable structure - 1; separation to the second - 250 meV per atom.


1:
A geometry-optimized KMg2Ir structure, computed with PBEsol.

Unit cell a=3.0067 b=4.0745 c=8.0684 alpha=90.00 beta=90.00 gamma=90.00
Closest atoms and distances in Å follow each position.
Atoms (fractional coordinates):
Ir  0.0000  0.0000  0.4009  5 Mg 2.57-2.63
K  0.5000  0.5000  0.7057  2 K 3.01, 1 Mg 3.18
Mg  0.0000  0.0000  0.0818  1 Ir 2.57
Mg  0.5000  0.5000  0.3116  4 Ir 2.63

Space-group type: No. 25
Crystal system: orthorhombic


2:
A geometry-optimized KMg2Ir structure, computed with PBEsol.

Unit cell a=3.1007 b=4.8957 c=8.0676 alpha=106.21 beta=90.00 gamma=108.46
Closest atoms and distances in Å follow each position.
Atoms (fractional coordinates):
Ir  0.4716  0.9432  0.6482  5 Mg 2.55-2.61
K  0.8325  0.6651  0.2881  2 K 3.10, 2 Ir 3.21
Mg  0.9966  0.9932  0.9073  2 Ir 2.56
Mg  0.1993  0.3985  0.6564  3 Ir 2.55-2.61

Space-group type: No. 8
Crystal system: monoclinic


Most stable structure - 1; separation to the second - 19 meV per atom.


1:
A geometry-optimized K2MoIr structure, computed with PBEsol.

Unit cell a=2.9548 b=4.3641 c=9.9686 alpha=91.99 beta=90.00 gamma=109.79
Closest atoms and distances in Å follow each position.
Atoms (fractional coordinates):
Ir  0.7559  0.5119  0.3340  3 Mo 2.38-2.50
K  0.0133  0.0266  0.0932  2 K 2.95, 1 Ir 3.26
K  0.2448  0.4897  0.6610  2 K 2.95, 1 Mo 3.23
Mo  0.4859  0.9719  0.4118  3 Ir 2.38-2.50

Space-group type: No. 8
Crystal system: monoclinic


2:
A geometry-optimized K2MoIr structure, computed with PBEsol.

Unit cell a=3.2939 b=4.1945 c=5.7776 alpha=90.00 beta=90.00 gamma=90.00
Closest atoms and distances in Å follow each position.
Atoms (fractional coordinates):
Ir  0.0000  0.5000  0.5000  4 Mo 2.67
K  0.0000  0.0000  0.0000  4 K 2.67
K  0.5000  0.5000  0.0000  4 K 2.67
Mo  0.5000  0.0000  0.5000  4 Ir 2.67

Space-group type: No. 47
Crystal system: orthorhombic


3:
A geometry-optimized K2MoIr structure, computed with PBEsol.

Unit cell a=2.7100 b=5.2195 c=5.7097 alpha=90.00 beta=90.00 gamma=90.00
Closest atoms and distances in Å follow each position.
Atoms (fractional coordinates):
Ir  0.5000  0.0000  0.5000  2 Mo 2.61, 2 Ir 2.71
K  0.0000  0.7524  0.0000  4 K 2.58-2.71
K  0.0000  0.2476  0.0000  4 K 2.58-2.71
Mo  0.5000  0.5000  0.5000  2 Ir 2.61, 2 Mo 2.71

Space-group type: No. 47
Crystal system: orthorhombic


Most stable structure - 1; separation to the second - 432 meV per atom.


1:
A geometry-optimized K2MoIr structure, computed with PBEsol.

Unit cell a=2.7956 b=2.7956 c=11.8421 alpha=83.22 beta=83.22 gamma=60.00
Closest atoms and distances in Å follow each position.
Atoms (fractional coordinates):
Ir  0.0000  0.0000  0.0000  6 Ir 2.80
K  0.2561  0.2561  0.2318  6 K 2.80
K  0.7439  0.7439  0.7682  6 K 2.80
Mo  0.5000  0.5000  0.5000  6 Mo 2.80

Space-group type: No. 166
Crystal system: trigonal


2:
A geometry-optimized K2MoIr structure, computed with PBEsol.

Unit cell a=3.7452 b=3.7452 c=6.3336 alpha=107.20 beta=107.20 gamma=90.00
Closest atoms and distances in Å follow each position.
Atoms (fractional coordinates):
Ir  0.0000  0.0000  0.0000  4 Mo 2.65
K  0.7500  0.2500  0.5000  4 K 2.65
K  0.2500  0.7500  0.5000  4 K 2.65
Mo  0.5000  0.5000  0.0000  4 Ir 2.65

Space-group type: No. 139
Crystal system: tetragonal


Most stable structure - 2; separation to the second - 61 meV per atom.


1:
A geometry-optimized KMoIr2 structure, computed with PBEsol.

Unit cell a=2.6964 b=5.0407 c=5.0407 alpha=106.17 beta=90.00 gamma=90.00
Closest atoms and distances in Å follow each position.
Atoms (fractional coordinates):
Ir  0.0000  0.0000  0.5000  2 Ir 2.70, 4 Mo 2.86, 4 K 2.86
Ir  0.0000  0.5000  0.0000  2 Ir 2.70, 4 K 2.86, 4 Mo 2.86
K  0.5000  0.5000  0.5000  2 K 2.70, 8 Ir 2.86
Mo  0.5000  0.0000  0.0000  2 Mo 2.70, 8 Ir 2.86

Space-group type: No. 65
Crystal system: orthorhombic


2:
A geometry-optimized KMoIr2 structure, computed with PBEsol.

Unit cell a=2.6751 b=5.1305 c=5.3108 alpha=116.15 beta=90.00 gamma=90.00
Closest atoms and distances in Å follow each position.
Atoms (fractional coordinates):
Ir  0.0000  0.0000  0.0000  6 Ir 2.68-2.97, 2 Mo 2.76, 4 K 2.89
Ir  0.5000  0.0000  0.5000  6 Ir 2.68-2.97, 2 K 2.76, 4 Mo 2.89
K  0.5000  0.5000  0.0000  2 K 2.68, 6 Ir 2.76-2.89, 4 Mo 2.97
Mo  0.0000  0.5000  0.5000  2 Mo 2.68, 6 Ir 2.76-2.89, 4 K 2.97

Space-group type: No. 10
Crystal system: monoclinic


Most stable structure - 1; separation to the second - 163 meV per atom.


1:
A geometry-optimized KNiIr2 structure, computed with PBEsol.

Unit cell a=2.6990 b=4.5380 c=6.6046 alpha=96.29 beta=90.00 gamma=107.30
Closest atoms and distances in Å follow each position.
Atoms (fractional coordinates):
Ir  0.0053  0.0105  0.9863  5 Ir 2.50-2.70, 3 Ni 2.53-2.77
Ir  0.2668  0.5336  0.8606  2 Ni 2.44, 5 Ir 2.50-2.70
K  0.4988  0.9977  0.4934  2 K 2.70
Ni  0.7291  0.4582  0.1597  4 Ir 2.44-2.53, 2 Ni 2.70

Space-group type: No. 8
Crystal system: monoclinic


2:
A geometry-optimized KNiIr2 structure, computed with PBEsol.

Unit cell a=2.5739 b=3.6750 c=7.5790 alpha=90.00 beta=90.00 gamma=90.00
Closest atoms and distances in Å follow each position.
Atoms (fractional coordinates):
Ir  0.0000  0.0000  0.6652  3 Ir 2.50-2.57, 4 Ni 2.57
Ir  0.0000  0.0000  0.3348  3 Ir 2.50-2.57, 4 Ni 2.57
K  0.5000  0.5000  0.0000  2 K 2.57
Ni  0.5000  0.5000  0.5000  8 Ir 2.57, 2 Ni 2.57

Space-group type: No. 47
Crystal system: orthorhombic


Most stable structure - 1; separation to the second - 138 meV per atom.


1:
A geometry-optimized K2IrOs structure, computed with PBEsol.

Unit cell a=2.7423 b=4.7874 c=6.2392 alpha=111.99 beta=101.75 gamma=92.42
Closest atoms and distances in Å follow each position.
Atoms (fractional coordinates):
Ir  0.0000  0.5000  0.0000  4 Os 2.71-2.81, 2 Ir 2.74
K  0.0000  0.0000  0.5000  6 K 2.71-2.81
K  0.5000  0.5000  0.5000  6 K 2.71-2.81
Os  0.5000  0.0000  0.0000  4 Ir 2.71-2.81, 2 Os 2.74

Space-group type: No. 12
Crystal system: monoclinic


2:
A geometry-optimized K2IrOs structure, computed with PBEsol.

Unit cell a=5.0390 b=5.0390 c=5.0390 alpha=60.00 beta=60.00 gamma=60.00
Closest atoms and distances in Å follow each position.
Atoms (fractional coordinates):
Ir  0.0000  0.0000  0.0000  8 K 3.09
K  0.2500  0.2500  0.2500  4 Os 3.09, 4 Ir 3.09
K  0.7500  0.7500  0.7500  4 Ir 3.09, 4 Os 3.09
Os  0.5000  0.5000  0.5000  8 K 3.09

Space-group type: No. 225
Crystal system: cubic


3:
A geometry-optimized K2IrOs structure, computed with PBEsol.

Unit cell a=2.8078 b=4.2499 c=10.2035 alpha=102.02 beta=97.91 gamma=90.00
Closest atoms and distances in Å follow each position.
Atoms (fractional coordinates):
Ir  0.5000  0.0000  0.0000  4 Os 2.55, 2 Ir 2.81
K  0.8587  0.8587  0.7174  2 K 2.81, 2 Ir 3.13
K  0.1413  0.1413  0.2826  2 K 2.81, 2 Ir 3.13
Os  0.0000  0.5000  0.0000  4 Ir 2.55, 2 Os 2.81

Space-group type: No. 71
Crystal system: orthorhombic


4:
A geometry-optimized K2IrOs structure, computed with PBEsol.

Unit cell a=3.7448 b=3.7448 c=5.4911 alpha=90.00 beta=90.00 gamma=90.00
Closest atoms and distances in Å follow each position.
Atoms (fractional coordinates):
Ir  0.0000  0.0000  0.5000  4 Os 2.65
K  0.0000  0.5000  0.0000  4 K 2.65
K  0.5000  0.0000  0.0000  4 K 2.65
Os  0.5000  0.5000  0.5000  4 Ir 2.65

Space-group type: No. 123
Crystal system: tetragonal


Most stable structure - 3; separation to the second - 363 meV per atom.


1:
A geometry-optimized KP2Ir structure, computed with PBEsol.

Unit cell a=4.0068 b=5.1981 c=5.1981 alpha=74.15 beta=67.33 gamma=67.33
Closest atoms and distances in Å follow each position.
Atoms (fractional coordinates):
Ir  0.5000  0.0000  0.0000  4 P 2.30
K  0.0000  0.5000  0.5000  8 P 3.21-3.33
P  0.1549  0.8451  0.8451  1 P 2.25, 2 Ir 2.30
P  0.8451  0.1549  0.1549  1 P 2.25, 2 Ir 2.30

Space-group type: No. 71
Crystal system: orthorhombic


2:
A geometry-optimized KP2Ir structure, computed with PBEsol.

Unit cell a=3.9842 b=3.9842 c=6.3175 alpha=71.62 beta=71.62 gamma=60.00
Closest atoms and distances in Å follow each position.
Atoms (fractional coordinates):
Ir  0.5000  0.5000  0.5000  6 P 2.40
K  0.0000  0.0000  0.0000  6 P 3.22
P  0.2058  0.2058  0.3825  3 Ir 2.40, 3 P 2.68
P  0.7942  0.7942  0.6175  3 Ir 2.40, 3 P 2.68

Space-group type: No. 166
Crystal system: trigonal


Most stable structure - 2; separation to the second - 320 meV per atom.


1:
A geometry-optimized KIrPt2 structure, computed with PBEsol.

Unit cell a=2.6961 b=4.5009 c=6.9494 alpha=94.70 beta=90.00 gamma=107.43
Closest atoms and distances in Å follow each position.
Atoms (fractional coordinates):
Ir  0.0000  0.0000  0.5000  6 Pt 2.61-2.65, 2 Ir 2.70
K  0.5000  0.0000  0.0000  2 K 2.70
Pt  0.7396  0.4792  0.6690  3 Ir 2.61-2.65, 4 Pt 2.70-2.73
Pt  0.2604  0.5208  0.3310  3 Ir 2.61-2.65, 4 Pt 2.70-2.73

Space-group type: No. 12
Crystal system: monoclinic


2:
A geometry-optimized KIrPt2 structure, computed with PBEsol.

Unit cell a=2.7060 b=5.0467 c=5.0467 alpha=109.27 beta=90.00 gamma=90.00
Closest atoms and distances in Å follow each position.
Atoms (fractional coordinates):
Ir  0.5000  0.5000  0.5000  2 Ir 2.71, 8 Pt 2.86, 2 K 2.92
K  0.5000  0.0000  0.0000  2 K 2.71, 8 Pt 2.86, 2 Ir 2.92
Pt  0.0000  0.0000  0.5000  4 Pt 2.71-2.92, 4 K 2.86, 4 Ir 2.86
Pt  0.0000  0.5000  0.0000  4 Pt 2.71-2.92, 4 Ir 2.86, 4 K 2.86

Space-group type: No. 65
Crystal system: orthorhombic


Most stable structure - 1; separation to the second - 46 meV per atom.


1:
A geometry-optimized KIrRh2 structure, computed with PBEsol.

Unit cell a=2.6598 b=4.2012 c=6.9220 alpha=90.00 beta=100.98 gamma=90.00
Closest atoms and distances in Å follow each position.
Atoms (fractional coordinates):
Ir  0.8864  0.0000  0.3983  6 Rh 2.61-2.62, 2 Ir 2.66
K  0.5627  0.5000  0.7533  2 K 2.66
Rh  0.2225  0.0000  0.0669  4 Rh 2.56-2.66, 2 Ir 2.61-2.62
Rh  0.3284  0.5000  0.2815  4 Rh 2.56-2.66, 4 Ir 2.61

Space-group type: No. 6
Crystal system: monoclinic


2:
A geometry-optimized KIrRh2 structure, computed with PBEsol.

Unit cell a=2.7233 b=4.8145 c=4.8145 alpha=90.00 beta=90.00 gamma=90.00
Closest atoms and distances in Å follow each position.
Atoms (fractional coordinates):
Ir  0.5000  0.5000  0.5000  2 Ir 2.72, 8 Rh 2.77
K  0.5000  0.0000  0.0000  2 K 2.72, 8 Rh 2.77
Rh  0.0000  0.0000  0.5000  2 Rh 2.72, 4 K 2.77, 4 Ir 2.77
Rh  0.0000  0.5000  0.0000  2 Rh 2.72, 4 K 2.77, 4 Ir 2.77

Space-group type: No. 123
Crystal system: tetragonal


Most stable structure - 1; separation to the second - 281 meV per atom.